Record 1
Entry from the Alexandria database: crystalline DyRh5 at its relaxed geometry (PBE).

Lattice parameters (Å, degrees): 5.2267 5.2267 4.3297 90.00 90.00 120.00
Element x y z (fractional)
Dy  0.0000  0.0000  0.0000
Rh  0.0000  0.5000  0.5000
Rh  0.3333  0.6667  0.0000
Rh  0.6667  0.3333  0.0000
Rh  0.5000  0.0000  0.5000
Rh  0.5000  0.5000  0.5000

ΔH_f (0 K) ... -29 kJ per mole of atoms
Space group ... No. 191
E ... -7.198 eV/atom

Record 2
Entry from the Alexandria database: crystalline Ni2CBr at its relaxed geometry (PBE).

Lattice parameters (Å, degrees): 4.9423 4.9423 5.9475 65.45 65.45 90.00
Element x y z (fractional)
Ni  0.5135  0.1250  0.2500
Ni  0.2365  0.6250  0.2500
Ni  0.3750  0.4865  0.7500
Ni  0.8750  0.7635  0.7500
C  0.5000  0.5000  0.0000
C  0.2500  0.7500  0.5000
Br  0.0000  0.0000  0.0000
Br  0.7500  0.2500  0.5000

Polymorph energy (0 for the lowest one) ... 0.000 kcal/mol of atoms
Space group ... No. 122
E ... -5.135 eV/atom

Record 3
Entry from the Alexandria database: crystalline Hf2GaNiH at its relaxed geometry (PBE).

Lattice parameters (Å, degrees): 4.3594 4.3594 3.7005 90.00 90.00 90.00
Element x y z (fractional)
Ni  0.0000  0.0000  0.5000
Hf  0.0000  0.5000  0.0000
Hf  0.5000  0.0000  0.0000
Ga  0.5000  0.5000  0.5000
H  0.0000  0.0000  0.0000

Space group ... No. 123
E ... -6.791 eV/atom

Record 4
Entry from the Alexandria database: crystalline Y2ReF2 at its relaxed geometry (PBE).

Lattice parameters (Å, degrees): 7.4873 7.4873 2.9407 90.00 90.00 90.00
Element x y z (fractional)
Y  0.1982  0.6982  0.5000
Y  0.6982  0.8018  0.5000
Y  0.8018  0.3018  0.5000
Y  0.3018  0.1982  0.5000
Re  0.0000  0.0000  0.0000
Re  0.5000  0.5000  0.0000
F  0.3889  0.8889  0.0000
F  0.8889  0.6111  0.0000
F  0.6111  0.1111  0.0000
F  0.1111  0.3889  0.0000

Polymorph energy (0 for the lowest one) ... 0.000 kcal/mol of atoms
Space group ... No. 127
E ... -7.156 eV/atom

Record 5
Entry from the Alexandria database: crystalline Ca6HPt2N at its relaxed geometry (PBE).

Lattice parameters (Å, degrees): 6.6092 7.1746 9.4726 90.00 90.13 90.00
Element x y z (fractional)
Ca  0.2980  0.6784  0.0469
Ca  0.7980  0.8216  0.5469
Ca  0.7020  0.3216  0.9531
Ca  0.2020  0.1784  0.4531
Ca  0.3212  0.7064  0.4531
Ca  0.8212  0.7936  0.9531
Ca  0.6788  0.2936  0.5469
Ca  0.1788  0.2064  0.0469
Ca  0.9101  0.5250  0.2424
Ca  0.4101  0.9750  0.7424
Ca  0.0899  0.4750  0.7576
Ca  0.5899  0.0250  0.2576
H  0.5000  0.0000  0.0000
H  0.0000  0.5000  0.5000
Pt  0.0273  0.9194  0.2489
Pt  0.5273  0.5806  0.7489
Pt  0.9727  0.0806  0.7511
Pt  0.4727  0.4194  0.2511
N  0.5000  0.0000  0.5000
N  0.0000  0.5000  0.0000

Space group ... No. 14
E ... -4.296 eV/atom

Record 6
Entry from the Alexandria database: crystalline Be2Ir2Pb at its relaxed geometry (PBE).

Lattice parameters (Å, degrees): 7.0439 7.0439 2.9096 90.00 90.00 90.00
Element x y z (fractional)
Pb  0.0000  0.0000  0.0000
Pb  0.5000  0.5000  0.0000
Be  0.1327  0.6327  0.5000
Be  0.6327  0.8673  0.5000
Be  0.8673  0.3673  0.5000
Be  0.3673  0.1327  0.5000
Ir  0.3531  0.8531  0.0000
Ir  0.8531  0.6469  0.0000
Ir  0.6469  0.1469  0.0000
Ir  0.1469  0.3531  0.0000

ΔH_f (0 K) ... 3 kJ per mole of atoms
Polymorph energy (0 for the lowest one) ... 0.049 kcal/mol of atoms
Space group ... No. 127
E ... -5.747 eV/atom